Entry 1:
# CoTe2Ir, relaxed, DFT PBE
# size of the total moment = 1.0 μB per formula unit
# formation energy from raw total energies = 0.469 eV per atom
# total DFT energy (no corrections) = -40.75 eV/cell
# Fermi-level density of states = 10.72 states/eV/cell
data_CoTe2Ir
_cell_length_a 6.5826
_cell_length_b 6.6472
_cell_length_c 3.3620
_cell_angle_alpha 90.00
_cell_angle_beta 90.00
_cell_angle_gamma 90.00
_symmetry_space_group_name_H-M 'C m m m'
_symmetry_Int_Tables_number 65
_symmetry_space_group_name_Hall '-C 2 2'
loop_
_atom_site_label
_atom_site_type_symbol
_atom_site_fract_x
_atom_site_fract_y
_atom_site_fract_z
Co1 Co 0.0000 0.0000 0.0000
Te1 Te 0.2500 0.2500 0.5000
Ir1 Ir 0.0000 0.5000 0.0000

Entry 2:
# Cd3PdW, relaxed, DFT PBE
# size of the total moment = 4.2 μB per formula unit
# DFT formation energy = 1.1857 eV per atom
# total DFT energy (no corrections) = -14.96 eV/cell
# Fermi-level density of states = 2.65 states/eV/cell
data_Cd3PdW
_cell_length_a 5.0770
_cell_length_b 5.0770
_cell_length_c 5.0770
_cell_angle_alpha 90.00
_cell_angle_beta 90.00
_cell_angle_gamma 90.00
_symmetry_space_group_name_H-M 'P m -3 m'
_symmetry_Int_Tables_number 221
_symmetry_space_group_name_Hall '-P 4 2 3'
loop_
_atom_site_label
_atom_site_type_symbol
_atom_site_fract_x
_atom_site_fract_y
_atom_site_fract_z
Cd1 Cd 0.0000 0.0000 0.5000
Pd1 Pd 0.0000 0.0000 0.0000
W1 W 0.5000 0.5000 0.5000

Entry 3:
# CePrSnN, relaxed, DFT PBE
# size of the total moment = 0.1 μB per formula unit
# formation energy from raw total energies = -1.007 eV per atom
# total DFT energy (no corrections) = -54.14 eV/cell
# Fermi-level density of states = 3.99 states/eV/cell
data_CePrSnN
_cell_length_a 4.7552
_cell_length_b 4.7552
_cell_length_c 9.0560
_cell_angle_alpha 90.00
_cell_angle_beta 90.00
_cell_angle_gamma 90.00
_symmetry_space_group_name_H-M 'P 4/n m m'
_symmetry_Int_Tables_number 129
loop_
_symmetry_equiv_pos_as_xyz
'x,y,z'
'-x,-y,-z'
'-y+1/2,x,z'
'y+1/2,-x,-z'
'-x+1/2,-y+1/2,z'
'x+1/2,y+1/2,-z'
'y,-x+1/2,z'
'-y,x+1/2,-z'
'x+1/2,-y,-z'
'-x+1/2,y,z'
'-y,-x,-z'
'y,x,z'
'-x,y+1/2,-z'
'x,-y+1/2,z'
'y+1/2,x+1/2,-z'
'-y+1/2,-x+1/2,z'
loop_
_atom_site_label
_atom_site_type_symbol
_atom_site_fract_x
_atom_site_fract_y
_atom_site_fract_z
Ce1 Ce 0.2500 0.2500 0.1720
Pr1 Pr 0.2500 0.7500 0.5000
Sn1 Sn 0.2500 0.2500 0.8033
N1 N 0.2500 0.2500 0.4037

Entry 4:
# TlIn2Os, relaxed, DFT PBE
# size of the total moment = 0.0 μB per formula unit
# DFT formation energy = 0.7526 eV per atom
# total DFT energy (no corrections) = -64.25 eV/cell
# Fermi-level density of states = 14.57 states/eV/cell
data_TlIn2Os
_cell_length_a 7.0119
_cell_length_b 7.0119
_cell_length_c 7.0119
_cell_angle_alpha 90.00
_cell_angle_beta 90.00
_cell_angle_gamma 90.00
_symmetry_space_group_name_H-M 'F m -3 m'
_symmetry_Int_Tables_number 225
_symmetry_space_group_name_Hall '-F 4 2 3'
loop_
_atom_site_label
_atom_site_type_symbol
_atom_site_fract_x
_atom_site_fract_y
_atom_site_fract_z
Tl1 Tl 0.0000 0.0000 0.0000
In1 In 0.2500 0.2500 0.2500
Os1 Os 0.0000 0.0000 0.5000